Model i:
LiNiIO2: optimized geometry, PBE with a Hubbard U.

a = 3.661 Å, b = 3.661 Å, c = 7.095 Å
α = 90.00°, β = 90.00°, γ = 90.00°
Space group P4/mmm (No. 123)
Asymmetric unit:
Li 0.000 0.000 0.000 (multiplicity 1)
Ni 0.000 0.000 0.500 (multiplicity 1)
I 0.500 0.500 0.000 (multiplicity 1)
O 0.000 0.500 0.500 (multiplicity 2)

## Properties
Theoretical density (g cm⁻³): 3.9



Model ii:
LiNiIO2: optimized geometry, PBE with a Hubbard U.

a = 3.844 Å, b = 3.844 Å, c = 5.587 Å
α = 90.00°, β = 90.00°, γ = 90.00°
Space group P4/mmm (No. 123)
Asymmetric unit:
Li 0.000 0.000 0.000 (multiplicity 1)
Ni 0.500 0.500 0.500 (multiplicity 1)
I 0.000 0.000 0.500 (multiplicity 1)
O 0.000 0.500 0.000 (multiplicity 2)

## Properties
Theoretical density (g cm⁻³): 4.5



Referenced to the most stable arrangement, the calculated values in meV per atom are model i 0; model ii 451.